Compound: ScSe2
Source: Alexandria
Functional: PBE
Structure: relaxed

Structure (CIF):
```
data_ScSe2
_chemical_formula_sum 'Sc1 Se2'
_cell_length_a 4.437
_cell_length_b 4.437
_cell_length_c 3.553
_cell_angle_alpha 90.00
_cell_angle_beta 90.00
_cell_angle_gamma 90.00
_space_group_name_H-M_alt 'P 4/m m m'
_space_group_IT_number 123
_space_group_name_Hall '-P 4 2'
loop_
_atom_site_label
_atom_site_fract_x
_atom_site_fract_y
_atom_site_fract_z
Sc1 0.000 0.000 0.000
Se1 0.000 0.500 0.500
```

Spin magnetization, μB/f.u.: 0.00
Raw total energy, eV/atom: -5.457
D(E_F), states/eV per cell: 1.25
Formation energy without anion corrections, meV/atom: -1024